This record from Alexandria via LeMat-Bulk describes crystalline Cs3BrF2 at its relaxed geometry. The functional is PBE-GGA.

Lattice parameters (Å, degrees): 4.7444 15.3799 6.0343 90.00 90.00 90.00
Closest atoms and distances in Å follow each position.
Positions (direct):
Cs (0.2500, 0.0517, 0.2495)  4 F 2.93-3.02
Cs (0.2500, 0.2500, 0.7479)  2 F 2.92
Cs (0.2500, 0.4483, 0.2495)  4 F 2.93-3.02
Cs (0.7500, 0.5517, 0.7505)  4 F 2.93-3.02
Cs (0.7500, 0.7500, 0.2521)  2 F 2.92
Cs (0.7500, 0.9483, 0.7505)  4 F 2.93-3.02
Br (0.2500, 0.7500, 0.7520)  8 Cs 3.84-3.86
Br (0.7500, 0.2500, 0.2480)  8 Cs 3.84-3.86
F (0.2500, 0.0605, 0.7493)  5 Cs 2.92-3.02
F (0.2500, 0.4395, 0.7493)  5 Cs 2.92-3.02
F (0.7500, 0.5605, 0.2507)  5 Cs 2.92-3.02
F (0.7500, 0.9395, 0.2507)  5 Cs 2.92-3.02

Output
* uncorrected energy: -3.681 eV/atom
* energy relative to the elements, uncorrected: -2351 meV per atom



This record from Alexandria via LeMat-Bulk describes crystalline Sr2TlBr5 at its relaxed geometry. The functional is PBE-GGA.

Lattice parameters (Å, degrees): 9.4267 8.4255 13.5807 90.00 90.01 90.00
Closest atoms and distances in Å follow each position.
Positions (direct):
Sr (0.0024, 0.0207, 0.3210)  8 Br 3.18-3.33
Sr (0.0024, 0.4793, 0.8210)  8 Br 3.18-3.33
Sr (0.2474, 0.0696, 0.0057)  7 Br 3.05-3.24
Sr (0.2474, 0.4304, 0.5057)  7 Br 3.05-3.24
Sr (0.7526, 0.5696, 0.4943)  7 Br 3.05-3.24
Sr (0.7526, 0.9304, 0.9943)  7 Br 3.05-3.24
Sr (0.9976, 0.5207, 0.1790)  8 Br 3.18-3.33
Sr (0.9976, 0.9793, 0.6790)  8 Br 3.18-3.33
Tl (0.4919, 0.5246, 0.1735)  7 Br 3.28-3.65
Tl (0.4919, 0.9754, 0.6735)  7 Br 3.28-3.65
Tl (0.5081, 0.0246, 0.3265)  7 Br 3.28-3.65
Tl (0.5081, 0.4754, 0.8265)  7 Br 3.28-3.65
Br (0.0397, 0.6602, 0.3987)  4 Sr 3.10-3.23
Br (0.0397, 0.8398, 0.8987)  4 Sr 3.10-3.23
Br (0.2170, 0.6703, 0.6816)  3 Sr 3.14-3.33
Br (0.2170, 0.8297, 0.1816)  3 Sr 3.14-3.33
Br (0.2177, 0.0475, 0.5033)  3 Sr 3.21-3.24, 1 Tl 3.52
Br (0.2177, 0.4525, 0.0033)  3 Sr 3.21-3.24, 1 Tl 3.52
Br (0.2286, 0.1940, 0.7850)  3 Sr 3.18-3.25, 1 Tl 3.44
Br (0.2286, 0.3060, 0.2850)  3 Sr 3.18-3.25, 1 Tl 3.44
Br (0.4664, 0.6592, 0.4051)  2 Sr 3.05-3.14, 2 Tl 3.28-3.35
Br (0.4664, 0.8408, 0.9051)  2 Sr 3.05-3.14, 2 Tl 3.28-3.35
Br (0.5336, 0.1592, 0.0949)  2 Sr 3.05-3.14, 2 Tl 3.28-3.35
Br (0.5336, 0.3408, 0.5949)  2 Sr 3.05-3.14, 2 Tl 3.28-3.35
Br (0.7714, 0.6940, 0.7150)  3 Sr 3.18-3.25, 1 Tl 3.44
Br (0.7714, 0.8060, 0.2150)  3 Sr 3.18-3.25, 1 Tl 3.44
Br (0.7823, 0.5475, 0.9967)  3 Sr 3.21-3.24, 1 Tl 3.52
Br (0.7823, 0.9525, 0.4967)  3 Sr 3.21-3.24, 1 Tl 3.52
Br (0.7830, 0.1703, 0.8184)  3 Sr 3.14-3.33
Br (0.7830, 0.3297, 0.3184)  3 Sr 3.14-3.33
Br (0.9603, 0.1602, 0.1013)  4 Sr 3.10-3.23
Br (0.9603, 0.3398, 0.6013)  4 Sr 3.10-3.23

Output
* uncorrected energy: -3.572 eV/atom
* excess energy over the best structure of this formula in the dataset: 0.0000 eV per atom
* energy relative to the elements, uncorrected: -1810 meV per atom



This record from Alexandria via LeMat-Bulk describes crystalline Li5Ca2Mg12 at its relaxed geometry. The functional is PBE-GGA.

Lattice parameters (Å, degrees): 7.7643 7.7643 7.7643 82.89 82.89 82.89
Closest atoms and distances in Å follow each position.
Positions (direct):
Li (0.0000, 0.0000, 0.5000)  8 Mg 2.94-2.95, 2 Li 3.16
Li (0.0000, 0.5000, 0.0000)  8 Mg 2.94-2.95, 2 Li 3.16
Li (0.0951, 0.0951, 0.0951)  4 Li 2.86-3.16, 3 Mg 3.16
Li (0.5000, 0.0000, 0.0000)  8 Mg 2.94-2.95, 2 Li 3.16
Li (0.9049, 0.9049, 0.9049)  4 Li 2.86-3.16, 3 Mg 3.16
Ca (0.3448, 0.3448, 0.3448)  15 Mg 3.61-3.95, 4 Li 3.75-4.00
Ca (0.6552, 0.6552, 0.6552)  15 Mg 3.61-3.95, 4 Li 3.75-4.00
Mg (0.0000, 0.2998, 0.7002)  2 Li 2.95, 6 Mg 3.08-3.11
Mg (0.0000, 0.7002, 0.2998)  2 Li 2.95, 6 Mg 3.08-3.11
Mg (0.1458, 0.6577, 0.6577)  3 Li 2.94-3.16, 6 Mg 3.06-3.11
Mg (0.2998, 0.0000, 0.7002)  2 Li 2.95, 6 Mg 3.08-3.11
Mg (0.2998, 0.7002, 0.0000)  2 Li 2.95, 6 Mg 3.08-3.11
Mg (0.3423, 0.3423, 0.8542)  3 Li 2.94-3.16, 6 Mg 3.06-3.11
Mg (0.3423, 0.8542, 0.3423)  3 Li 2.94-3.16, 6 Mg 3.06-3.11
Mg (0.6577, 0.1458, 0.6577)  3 Li 2.94-3.16, 6 Mg 3.06-3.11
Mg (0.6577, 0.6577, 0.1458)  3 Li 2.94-3.16, 6 Mg 3.06-3.11
Mg (0.7002, 0.0000, 0.2998)  2 Li 2.95, 6 Mg 3.08-3.11
Mg (0.7002, 0.2998, 0.0000)  2 Li 2.95, 6 Mg 3.08-3.11
Mg (0.8542, 0.3423, 0.3423)  3 Li 2.94-3.16, 6 Mg 3.06-3.11

Output
* uncorrected energy: -1.759 eV/atom
* energy relative to the elements: -0.037 eV/atom



This record from Alexandria via LeMat-Bulk describes crystalline Ba2InO at its relaxed geometry. The functional is PBE-GGA.

Lattice parameters (Å, degrees): 5.6790 5.6790 5.6790 60.00 60.00 60.00
Closest atoms and distances in Å follow each position.
Positions (direct):
Ba (0.2500, 0.2500, 0.2500)  4 O 3.48, 4 In 3.48
Ba (0.7500, 0.7500, 0.7500)  4 O 3.48, 4 In 3.48
In (0.0000, 0.0000, 0.0000)  8 Ba 3.48
O (0.5000, 0.5000, 0.5000)  8 Ba 3.48

Output
* uncorrected energy: -3.332 eV/atom
* excess energy over the best structure of this formula in the dataset: 0.9248 eV per atom
* energy relative to the elements, uncorrected: -446 meV per atom



This record from Alexandria via LeMat-Bulk describes crystalline BaCe2AlP4 at its relaxed geometry. The functional is PBE-GGA.

Lattice parameters (Å, degrees): 7.3994 7.3994 13.9873 90.00 90.00 147.54
Closest atoms and distances in Å follow each position.
Positions (direct):
Ba (0.1098, 0.8902, 0.7500)  6 P 3.27-3.36
Ba (0.8902, 0.1098, 0.2500)  6 P 3.27-3.36
Ce (0.3688, 0.6312, 0.5524)  6 P 2.82-2.90
Ce (0.3688, 0.6312, 0.9476)  6 P 2.82-2.90
Ce (0.6312, 0.3688, 0.0524)  6 P 2.82-2.90
Ce (0.6312, 0.3688, 0.4476)  6 P 2.82-2.90
Al (0.1600, 0.8400, 0.2500)  4 P 2.35-2.44
Al (0.8400, 0.1600, 0.7500)  4 P 2.35-2.44
P (0.0000, 0.0000, 0.0000)  4 Ce 2.88
P (0.0000, 0.0000, 0.5000)  4 Ce 2.88
P (0.2595, 0.7405, 0.1156)  1 Al 2.35
P (0.2595, 0.7405, 0.3844)  1 Al 2.35
P (0.4313, 0.5687, 0.7500)  2 Al 2.44
P (0.5687, 0.4313, 0.2500)  2 Al 2.44
P (0.7405, 0.2595, 0.6156)  1 Al 2.35
P (0.7405, 0.2595, 0.8844)  1 Al 2.35

Output
* uncorrected energy: -6.052 eV/atom
* energy relative to the elements: -1.155 eV/atom



This record from Alexandria via LeMat-Bulk describes crystalline Si3Te4 at its relaxed geometry. The functional is PBE-GGA.

Lattice parameters (Å, degrees): 5.6567 5.6567 5.6567 90.00 90.00 90.00
Closest atoms and distances in Å follow each position.
Positions (direct):
Si (0.0000, 0.0000, 0.5000)  6 Te 2.83
Si (0.0000, 0.5000, 0.0000)  6 Te 2.83
Si (0.5000, 0.0000, 0.0000)  6 Te 2.83
Te (0.0000, 0.0000, 0.0000)  6 Si 2.83
Te (0.0000, 0.5000, 0.5000)  4 Si 2.83
Te (0.5000, 0.0000, 0.5000)  4 Si 2.83
Te (0.5000, 0.5000, 0.0000)  4 Si 2.83

Output
* uncorrected energy: -3.866 eV/atom
* excess energy over the best structure of this formula in the dataset: 0.0000 eV per atom
* energy relative to the elements, uncorrected: 253 meV per atom